# Li2MnFe3O6

Li2MnFe3O6 after structural relaxation (PBE+U, Alexandria via LeMat-Bulk).

Cell lengths 6.8384, 6.8384, 6.1537 Å; angles 103.38, 103.38, 25.76 degrees
Fractional positions:
Li: 0.1723 0.1723 0.3488
Li: 0.8277 0.8277 0.6512
Mn: 0.5000 0.5000 0.0000
Fe: 0.1702 0.1702 0.8250
Fe: 0.5000 0.5000 0.5000
Fe: 0.8298 0.8298 0.1750
O: 0.0118 0.0118 0.7540
O: 0.3270 0.3270 0.9332
O: 0.3325 0.3325 0.3990
O: 0.6675 0.6675 0.6010
O: 0.6730 0.6730 0.0668
O: 0.9882 0.9882 0.2460

Calculated values
* calculated density: 4.542 Mg/m³
* calculated total energy: -77.61 eV for the cell shown
* magnetic moment: 19.00 μB per formula unit